Here is a relaxed structure of Ca3MoIr from Alexandria. Energies are from GGA-PBE.

Values from the calculation:
ΔE to the lowest computed polymorph = 735 meV/atom
SG = Pm-3m, No. 221
final energy = -18.858 eV/cell
total magnetic moment = 0.47 μB per formula unit

Cell: 5.171 5.171 5.171 Å, 90.00 90.00 90.00°
Sites, in units of the cell vectors:
1 Ca 0.500 0.000 0.000
2 Ca 0.000 0.000 0.500
3 Ca 0.000 0.500 0.000
4 Mo 0.000 0.000 0.000
5 Ir 0.500 0.500 0.500